1.
A plane-wave DFT calculation with PBE was carried out for an optimized crystal structure of Tb2PrThSb4.

Cell: 7.7147 4.4753 7.7440 Å, 90.00 109.50 90.00°
With the nearest neighbours (Å) after each atom.
Atoms (fractional coordinates):
Tb 0.0000 0.0000 0.0000  6 Sb 3.11-3.12
Tb 0.0000 0.5000 0.5000  6 Sb 3.13
Pr 0.5000 0.0000 0.5000  6 Sb 3.20
Th 0.5000 0.5000 0.0000  6 Sb 3.18-3.19
Sb 0.2415 0.5000 0.2451  3 Tb 3.12-3.13, 1 Th 3.18, 2 Pr 3.20
Sb 0.2422 0.0000 0.7489  3 Tb 3.11-3.13, 2 Th 3.19, 1 Pr 3.20
Sb 0.7578 0.0000 0.2511  3 Tb 3.11-3.13, 2 Th 3.19, 1 Pr 3.20
Sb 0.7585 0.5000 0.7549  3 Tb 3.12-3.13, 1 Th 3.18, 2 Pr 3.20

Output
uncorrected formation energy: -1115 meV/atom
E_tot: -46.9 eV per formula unit

***

2.
A plane-wave DFT calculation with PBE was carried out for an optimized crystal structure of HfScTcNi.

Cell: 3.2551 3.2551 6.3228 Å, 90.00 90.00 90.00°
With the nearest neighbours (Å) after each atom.
Atoms (fractional coordinates):
Hf 0.0000 0.0000 0.0000  4 Tc 2.75, 4 Ni 2.78
Sc 0.0000 0.0000 0.5065  4 Tc 2.81, 4 Ni 2.83, 1 Hf 3.12
Tc 0.5000 0.5000 0.7614  4 Hf 2.75, 4 Sc 2.81, 1 Ni 3.07
Ni 0.5000 0.5000 0.2468  4 Hf 2.78, 4 Sc 2.83, 1 Tc 3.07

Output
ΔH_f (0 K): -466 meV per atom
E_tot: -34.3 eV per formula unit
energy above the lowest structure with this stoichiometry: 0.00 kJ per mole of atoms

***

3.
A plane-wave DFT calculation with PBE was carried out for an optimized crystal structure of ZnInCl2.

Cell: 3.6932 3.6932 9.8398 Å, 90.00 90.00 124.71°
With the nearest neighbours (Å) after each atom.
Atoms (fractional coordinates):
Zn 0.0000 0.0000 0.0000  4 Cl 2.38
In 0.0000 0.0000 0.5000  6 In 3.43-3.69, 4 Cl 3.69
Cl 0.5000 0.5000 0.1676  2 Zn 2.38
Cl 0.5000 0.5000 0.8324  2 Zn 2.38

Output
uncorrected formation energy: -538 meV/atom
E_tot: -9.9 eV per formula unit
energy above the lowest structure with this stoichiometry: 14.04 kJ per mole of atoms

***

4.
A plane-wave DFT calculation with PBE was carried out for an optimized crystal structure of SrAl4Cu2.

Cell: 5.6229 5.6229 5.6229 Å, 125.98 108.68 95.28°
With the nearest neighbours (Å) after each atom.
Atoms (fractional coordinates):
Sr 0.0000 0.0000 0.0000  12 Al 3.05-3.22
Al 0.0156 0.3112 0.7043  4 Al 2.68-2.86, 4 Cu 2.73-3.00
Al 0.3931 0.6888 0.7043  4 Al 2.68-2.86, 4 Cu 2.73-3.00
Al 0.6069 0.3112 0.2957  4 Al 2.68-2.86, 4 Cu 2.73-3.00
Al 0.9844 0.6888 0.2957  4 Al 2.68-2.86, 4 Cu 2.73-3.00
Cu 0.5000 0.2500 0.7500  2 Cu 2.55, 4 Al 2.73
Cu 0.5000 0.7500 0.2500  2 Cu 2.55, 4 Al 2.73

Output
ΔH_f (0 K): -47 meV per atom
E_tot: -25.2 eV per formula unit
energy above the lowest structure with this stoichiometry: 14.62 kJ per mole of atoms

***

5.
A plane-wave DFT calculation with PBE was carried out for an optimized crystal structure of Mg4AgPd15.

Cell: 3.9803 3.9803 19.9231 Å, 90.00 90.00 90.00°
With the nearest neighbours (Å) after each atom.
Atoms (fractional coordinates):
Mg 0.0000 0.0000 0.0997  12 Pd 2.81
Mg 0.0000 0.0000 0.2988  12 Pd 2.81
Mg 0.0000 0.0000 0.7012  12 Pd 2.81
Mg 0.0000 0.0000 0.9003  12 Pd 2.81
Ag 0.0000 0.0000 0.5000  12 Pd 2.81-2.84
Pd 0.0000 0.5000 0.0000  8 Pd 2.81, 4 Mg 2.81
Pd 0.0000 0.5000 0.1994  8 Pd 2.81, 4 Mg 2.81
Pd 0.0000 0.5000 0.3982  2 Mg 2.81, 8 Pd 2.81-2.84, 2 Ag 2.84
Pd 0.0000 0.5000 0.6018  2 Mg 2.81, 8 Pd 2.81-2.84, 2 Ag 2.84
Pd 0.0000 0.5000 0.8006  8 Pd 2.81, 4 Mg 2.81
Pd 0.5000 0.0000 0.0000  8 Pd 2.81, 4 Mg 2.81
Pd 0.5000 0.0000 0.1994  8 Pd 2.81, 4 Mg 2.81
Pd 0.5000 0.0000 0.3982  2 Mg 2.81, 8 Pd 2.81-2.84, 2 Ag 2.84
Pd 0.5000 0.0000 0.6018  2 Mg 2.81, 8 Pd 2.81-2.84, 2 Ag 2.84
Pd 0.5000 0.0000 0.8006  8 Pd 2.81, 4 Mg 2.81
Pd 0.5000 0.5000 0.0997  8 Pd 2.81, 4 Mg 2.81
Pd 0.5000 0.5000 0.2987  8 Pd 2.81, 4 Mg 2.81
Pd 0.5000 0.5000 0.5000  4 Ag 2.81, 8 Pd 2.84
Pd 0.5000 0.5000 0.7013  8 Pd 2.81, 4 Mg 2.81
Pd 0.5000 0.5000 0.9003  8 Pd 2.81, 4 Mg 2.81

Output
ΔH_f (0 K): -384 meV per atom
E_tot: -94.8 eV per formula unit

***

6.
A plane-wave DFT calculation with PBE was carried out for an optimized crystal structure of Pr2SmDy4Er.

Cell: 5.0777 5.1001 10.1125 Å, 90.00 90.00 90.00°
With the nearest neighbours (Å) after each atom.
Atoms (fractional coordinates):
Pr 0.0000 0.0000 0.0000  8 Dy 3.57-3.58, 4 Er 3.60
Pr 0.5000 0.5000 0.5000  8 Dy 3.60, 4 Sm 3.60
Sm 0.0000 0.0000 0.5000  8 Dy 3.59-3.61, 4 Pr 3.60
Dy 0.0000 0.5000 0.2479  2 Er 3.57, 4 Pr 3.58-3.60, 4 Dy 3.60, 2 Sm 3.61
Dy 0.0000 0.5000 0.7521  2 Er 3.57, 4 Pr 3.58-3.60, 4 Dy 3.60, 2 Sm 3.61
Dy 0.5000 0.0000 0.2486  4 Pr 3.57-3.60, 2 Er 3.58, 2 Sm 3.59, 4 Dy 3.60
Dy 0.5000 0.0000 0.7514  4 Pr 3.57-3.60, 2 Er 3.58, 2 Sm 3.59, 4 Dy 3.60
Er 0.5000 0.5000 0.0000  8 Dy 3.57-3.58, 4 Pr 3.60

Output
ΔH_f (0 K): 21 meV per atom
E_tot: -37.1 eV per formula unit

***

no.,V (Å³/cell)
1,252
2,67
3,110
4,127
5,316
6,262